Record 1
Material: CaNd4Ni4
Method: DFT, PBE-GGA
State: optimized geometry

It has space group P4_2/n (No. 86, origin choice 2), with a = 8.910 Å, b = 8.910 Å, c = 5.680 Å, α = 90.00°, β = 90.00° and γ = 90.00°. The distinct sites, in fractional coordinates, are Ca at (0.250, 0.250, 0.250), Nd at (0.069, 0.660, 0.151) and Ni at (0.035, 0.613, 0.640).

The value obtained for the formation energy is -0.145 eV per atom.

=====

Record 2
Material: Tm3Ga2Ir
Method: DFT, PBE-GGA
State: optimized geometry

It has space group Pnma (No. 62), with a = 11.716 Å, b = 4.285 Å, c = 10.881 Å, α = 90.00°, β = 90.00° and γ = 90.00°. The distinct sites, in fractional coordinates, are Tm at (0.050, 0.250, 0.124), Tm at (0.118, 0.750, 0.559), Tm at (0.232, 0.250, 0.801), Ga at (0.006, 0.750, 0.302), Ga at (0.192, 0.750, 0.006) and Ir at (0.122, 0.250, 0.377).

The value obtained for the formation energy is -0.696 eV per atom.

=====

Record 3
Material: CuNi2P2
Method: DFT, PBE-GGA
State: optimized geometry

It has space group I4/mmm (No. 139), with a = 3.483 Å, b = 3.483 Å, c = 10.724 Å, α = 90.00°, β = 90.00° and γ = 90.00°. The distinct sites, in fractional coordinates, are Cu at (0.000, 0.000, 0.000), Ni at (0.000, 0.000, 0.383) and P at (0.000, 0.500, 0.250).

The value obtained for the formation energy is 0.067 eV per atom. The calculation puts the energy relative to the lowest polymorph listed for this composition at 0.1239 eV per atom.